TlInAu | PBE-GGA | relaxed

abc: 4.8918 4.8918 4.8918
angles: 60.00 60.00 60.00
Last column: nearest neighbours and their distance in Å.
Element x y z (fractional)
In  0.7500  0.7500  0.7500  4 Au 3.00, 4 Tl 3.00
Tl  0.0000  0.0000  0.0000  4 In 3.00
Au  0.5000  0.5000  0.5000  4 In 3.00

Computed properties:
The total energy is -8.2 eV/cell. The calculation puts the size of the total moment at 0.0 μB per formula unit. The calculation puts the calculated volume at 27.59 Å³/atom. As for the space group: F-43m, No. 216. The value obtained for the calculated formation energy is 0.0640 eV per atom.